# 1
Material: CsP2SI
Method: DFT, PBE
State: optimized geometry Values from VASP.

formation energy without anion corrections: 1.577 eV/atom
symmetry: No. 123
energy above the lowest structure with this stoichiometry: 853.6 meV per atom
total moment: 5.0 μB/f.u.

```
&SYSTEM
  ibrav = 0, nat = 5, ntyp = 4
/
ATOMIC_SPECIES
Cs 132.91 Cs.upf
P 30.97 P.upf
S 32.06 S.upf
I 126.90 I.upf
ATOMIC_POSITIONS crystal
Cs 0.000 0.000 0.000
P 0.000 0.500 0.000
P 0.500 0.000 0.000
S 0.000 0.000 0.500
I 0.500 0.500 0.500
CELL_PARAMETERS angstrom
7.269 0.000 0.000
0.000 7.269 0.000
0.000 0.000 5.619
```

=====

# 2
Material: TaTiAlRe
Method: DFT, PBE
State: optimized geometry Values from VASP.

formation energy: -0.30 eV/atom
symmetry: No. 216
energy above the lowest structure with this stoichiometry: 45.7 meV per atom
total moment: 0.7 μB/f.u.

```
&SYSTEM
  ibrav = 0, nat = 4, ntyp = 4
/
ATOMIC_SPECIES
Ta 180.95 Ta.upf
Ti 47.87 Ti.upf
Al 26.98 Al.upf
Re 186.21 Re.upf
ATOMIC_POSITIONS crystal
Ta 0.000 0.000 0.000
Ti 0.250 0.250 0.250
Al 0.500 0.500 0.500
Re 0.750 0.750 0.750
CELL_PARAMETERS angstrom
0.000 3.170 3.170
3.170 0.000 3.170
3.170 3.170 0.000
```

=====

# 3
Material: BeIr2Rh
Method: DFT, PBE
State: optimized geometry Values from VASP.

formation energy: -0.14 eV/atom
symmetry: No. 10
total moment: 0.0 μB/f.u.

```
&SYSTEM
  ibrav = 0, nat = 4, ntyp = 3
/
ATOMIC_SPECIES
Be 9.01 Be.upf
Ir 192.22 Ir.upf
Rh 102.91 Rh.upf
ATOMIC_POSITIONS crystal
Be 0.000 0.000 0.000
Ir 0.369 0.500 0.232
Ir 0.631 0.500 0.768
Rh 0.000 0.000 0.500
CELL_PARAMETERS angstrom
2.742 0.000 0.000
0.000 3.927 0.000
-1.202 0.000 4.907
```

=====

# 4
Material: SrBe3
Method: DFT, PBE
State: optimized geometry Values from VASP.

formation energy: 1.20 eV/atom
symmetry: No. 166
energy above the lowest structure with this stoichiometry: 1056.8 meV per atom
total moment: 0.0 μB/f.u.

```
&SYSTEM
  ibrav = 0, nat = 4, ntyp = 2
/
ATOMIC_SPECIES
Sr 87.62 Sr.upf
Be 9.01 Be.upf
ATOMIC_POSITIONS crystal
Sr 0.000 0.000 0.000
Be 0.000 0.500 0.500
Be 0.500 0.000 0.500
Be 0.500 0.500 0.000
CELL_PARAMETERS angstrom
4.641 2.680 0.930
-4.641 2.680 0.930
0.000 -5.359 0.930
```

=====

# 5
Material: CoRePd2
Method: DFT, PBE
State: optimized geometry Values from VASP.

formation energy: 0.82 eV/atom
symmetry: No. 122
energy above the lowest structure with this stoichiometry: 343.7 meV per atom
total moment: 1.8 μB/f.u.

```
&SYSTEM
  ibrav = 0, nat = 8, ntyp = 3
/
ATOMIC_SPECIES
Co 58.93 Co.upf
Re 186.21 Re.upf
Pd 106.42 Pd.upf
ATOMIC_POSITIONS crystal
Co 0.000 0.000 0.000
Co 0.750 0.250 0.500
Re 0.250 0.750 0.500
Re 0.500 0.500 0.000
Pd 0.115 0.625 0.990
Pd 0.375 0.365 0.490
Pd 0.635 0.125 0.010
Pd 0.875 0.885 0.510
CELL_PARAMETERS angstrom
-3.440 3.440 2.597
3.440 -3.440 2.597
3.440 3.440 -2.597
```

=====

# 6
Material: KNaSb2N
Method: DFT, PBE
State: optimized geometry Values from VASP.

formation energy without anion corrections: 1.523 eV/atom
symmetry: No. 123
total moment: 0.0 μB/f.u.

```
&SYSTEM
  ibrav = 0, nat = 5, ntyp = 4
/
ATOMIC_SPECIES
K 39.10 K.upf
Na 22.99 Na.upf
Sb 121.76 Sb.upf
N 14.01 N.upf
ATOMIC_POSITIONS crystal
K 0.000 0.000 0.000
Na 0.500 0.500 0.500
Sb 0.000 0.500 0.000
Sb 0.500 0.000 0.000
N 0.000 0.000 0.500
CELL_PARAMETERS angstrom
6.063 0.000 0.000
0.000 6.063 0.000
0.000 0.000 4.466
```

=====

# 7
Material: Ta3HgRh
Method: DFT, PBE
State: optimized geometry Values from VASP.

formation energy: 2.39 eV/atom
symmetry: No. 221
energy above the lowest structure with this stoichiometry: 1338.3 meV per atom
total moment: 0.9 μB/f.u.

```
&SYSTEM
  ibrav = 0, nat = 5, ntyp = 3
/
ATOMIC_SPECIES
Ta 180.95 Ta.upf
Hg 200.59 Hg.upf
Rh 102.91 Rh.upf
ATOMIC_POSITIONS crystal
Ta 0.000 0.000 0.500
Ta 0.000 0.500 0.000
Ta 0.500 0.000 0.000
Hg 0.000 0.000 0.000
Rh 0.500 0.500 0.500
CELL_PARAMETERS angstrom
4.949 0.000 0.000
0.000 4.949 0.000
0.000 0.000 4.949
```